! NaAg3Pd PBE-GGA optimized geometry; values from VASP
! DOS(E_F)   1.7 states/eV/cell
! Uncorrected energy   -2.6399 eV per atom
! Formation energy from the elements   0.373 eV per atom
! E above lowest polymorph   382 meV/atom
&SYSTEM
  ibrav = 0, nat = 5, ntyp = 3
/
ATOMIC_SPECIES
Na 22.99 Na.upf
Pd 106.42 Pd.upf
Ag 107.87 Ag.upf
CELL_PARAMETERS angstrom
-5.0258 -0.2428 1.0457
0.3101 -5.1209 0.3013
1.0278 0.3578 5.0226
ATOMIC_POSITIONS crystal
Na 0.5000 0.5000 0.5000
Pd 0.0000 0.0000 0.0000
Ag 0.0000 0.5000 0.0000
Ag 0.0000 0.0000 0.5000
Ag 0.5000 0.0000 0.0000